(1)
Density functional theory data (GGA-PBE) for crystalline Tb2Nd3Tl2 at its relaxed geometry.

a = 5.5319 Å, b = 5.5319 Å, c = 8.7907 Å
α = 108.45°, β = 108.45°, γ = 60.10°
Closest atoms and distances in Å follow each position.
Positions (direct):
Tb 0.0750 0.0750 0.2241  4 Tl 3.37-3.43, 3 Nd 3.56, 1 Tb 3.67
Tb 0.9250 0.9250 0.7759  4 Tl 3.37-3.43, 3 Nd 3.56, 1 Tb 3.67
Nd 0.3439 0.3439 0.0318  1 Tl 3.18, 3 Nd 3.24, 1 Tb 3.56
Nd 0.5000 0.5000 0.5000  6 Tl 3.40
Nd 0.6561 0.6561 0.9682  1 Tl 3.18, 3 Nd 3.24, 1 Tb 3.56
Tl 0.2142 0.2142 0.6432  4 Nd 3.18-3.40, 4 Tb 3.37-3.43
Tl 0.7858 0.7858 0.3568  4 Nd 3.18-3.40, 4 Tb 3.37-3.43

Output
Formation energy from the elements: -4.6 kcal/mol of atoms
Space-group type: C2/m (12)
E above lowest polymorph: 0.0 meV/atom
Uncorrected energy: -0.15584 hartree per atom
N(E_F): 0.904 states/eV/atom

---

(2)
Density functional theory data (GGA-PBE) for crystalline TcOs2Pd at its relaxed geometry.

a = 6.3376 Å, b = 6.3376 Å, c = 6.3376 Å
α = 123.60°, β = 123.60°, γ = 83.87°
Closest atoms and distances in Å follow each position.
Positions (direct):
Tc 0.0000 0.0000 0.0000  4 Os 2.38
Tc 0.7500 0.2500 0.5000  4 Os 2.38
Os 0.1130 0.6250 0.9880  2 Tc 2.38, 2 Pd 2.47
Os 0.3750 0.3630 0.4880  2 Tc 2.38, 2 Pd 2.47
Os 0.6370 0.1250 0.0120  2 Tc 2.38, 2 Pd 2.47
Os 0.8750 0.8870 0.5120  2 Tc 2.38, 2 Pd 2.47
Pd 0.2500 0.7500 0.5000  4 Os 2.47
Pd 0.5000 0.5000 0.0000  4 Os 2.47

Output
Formation energy from the elements: 33.0 kcal/mol of atoms
Space-group type: I-42d (122)
E above lowest polymorph: 846.5 meV/atom
Uncorrected energy: -0.29672 hartree per atom
N(E_F): 0.814 states/eV/atom

---

(3)
Density functional theory data (GGA-PBE) for crystalline GdGeS2 at its relaxed geometry.

a = 8.4156 Å, b = 8.4156 Å, c = 8.4156 Å
α = 25.84°, β = 25.84°, γ = 25.84°
Closest atoms and distances in Å follow each position.
Positions (direct):
Gd 0.0000 0.0000 0.0000  2 S 2.62
Ge 0.5000 0.5000 0.5000  6 S 2.61
S 0.1075 0.1075 0.1075  3 Ge 2.61, 1 Gd 2.62
S 0.8925 0.8925 0.8925  3 Ge 2.61, 1 Gd 2.62

Output
Space-group type: R-3m (166)
Uncorrected energy: -0.26450 hartree per atom
E_form (uncorrected): -0.46 eV/atom
N(E_F): 0.729 states/eV/atom

---

(4)
Density functional theory data (GGA-PBE) for crystalline MnAgPd2 at its relaxed geometry.

a = 5.7367 Å, b = 5.7367 Å, c = 5.7367 Å
α = 103.06°, β = 103.06°, γ = 123.23°
Closest atoms and distances in Å follow each position.
Positions (direct):
Mn 0.0000 0.0000 0.0000  4 Pd 2.51, 2 Ag 2.73
Mn 0.7500 0.2500 0.5000  4 Pd 2.51, 2 Ag 2.73
Ag 0.2500 0.7500 0.5000  4 Pd 2.72, 2 Mn 2.73
Ag 0.5000 0.5000 0.0000  4 Pd 2.72, 2 Mn 2.73
Pd 0.1040 0.6250 0.9790  2 Mn 2.51, 2 Ag 2.72, 2 Pd 2.74
Pd 0.3750 0.3540 0.4790  2 Mn 2.51, 2 Ag 2.72, 2 Pd 2.74
Pd 0.6460 0.1250 0.0210  2 Mn 2.51, 2 Ag 2.72, 2 Pd 2.74
Pd 0.8750 0.8960 0.5210  2 Mn 2.51, 2 Ag 2.72, 2 Pd 2.74

Output
Formation energy from the elements: 4.4 kcal/mol of atoms
Space-group type: I-42d (122)
Uncorrected energy: -0.19877 hartree per atom
N(E_F): 0.416 states/eV/atom

---

(5)
Density functional theory data (GGA-PBE) for crystalline WC2 at its relaxed geometry.

a = 5.7923 Å, b = 5.7923 Å, c = 4.0581 Å
α = 90.00°, β = 90.00°, γ = 148.64°
Closest atoms and distances in Å follow each position.
Positions (direct):
W 0.1765 0.8235 0.7500  6 C 2.03-2.26
W 0.8235 0.1765 0.2500  6 C 2.03-2.26
C 0.1778 0.8222 0.2500  4 W 2.03-2.26
C 0.4482 0.5518 0.2500  2 W 2.09, 2 C 2.34
C 0.5518 0.4482 0.7500  2 W 2.09, 2 C 2.34
C 0.8222 0.1778 0.7500  4 W 2.03-2.26

Output
Formation energy from the elements: 36.0 kcal/mol of atoms
Space-group type: Cmcm (63)
E above lowest polymorph: 1047.2 meV/atom
Uncorrected energy: -0.32722 hartree per atom
N(E_F): 0.414 states/eV/atom

---

(6)
Density functional theory data (GGA-PBE) for crystalline PmY7Tm3 at its relaxed geometry.

a = 6.9095 Å, b = 5.5479 Å, c = 9.9317 Å
α = 90.00°, β = 109.20°, γ = 90.00°
Closest atoms and distances in Å follow each position.
Positions (direct):
Pm 0.0000 0.0000 0.0000  2 Tm 3.45, 10 Y 3.55-3.81
Y 0.0000 0.0000 0.5000  4 Tm 3.37, 2 Y 3.76
Y 0.1481 0.5000 0.7888  3 Y 3.30-3.55, 2 Tm 3.31-3.33
Y 0.3234 0.5000 0.1404  5 Y 3.30-3.55, 3 Tm 3.50-3.65, 2 Pm 3.55
Y 0.4261 0.0000 0.3319  3 Y 3.15-3.31, 1 Tm 3.50
Y 0.5739 0.0000 0.6681  3 Y 3.15-3.31, 1 Tm 3.50
Y 0.6766 0.5000 0.8596  5 Y 3.30-3.55, 3 Tm 3.50-3.65, 2 Pm 3.55
Y 0.8519 0.5000 0.2112  3 Y 3.30-3.55, 2 Tm 3.31-3.33
Tm 0.2756 0.5000 0.4956  1 Tm 3.07, 4 Y 3.31-3.37
Tm 0.5000 0.0000 0.0000  2 Pm 3.45, 10 Y 3.50-3.83
Tm 0.7244 0.5000 0.5044  1 Tm 3.07, 4 Y 3.31-3.37

Output
Formation energy from the elements: 3.3 kcal/mol of atoms
Space-group type: P2/m (10)
E above lowest polymorph: 0.0 meV/atom
Uncorrected energy: -0.20653 hartree per atom
N(E_F): 1.724 states/eV/atom

---

(7)
Density functional theory data (GGA-PBE) for crystalline Ba2AgCCl at its relaxed geometry.

a = 5.9199 Å, b = 5.9199 Å, c = 4.8845 Å
α = 90.00°, β = 90.00°, γ = 90.00°
Closest atoms and distances in Å follow each position.
Positions (direct):
Ba 0.0000 0.5000 0.0000  2 Cl 2.96
Ba 0.5000 0.0000 0.0000  2 Cl 2.96
Ag 0.0000 0.0000 0.5000  2 Cl 2.44
C 0.5000 0.5000 0.5000  8 Ba 3.84, 4 Ag 4.19
Cl 0.0000 0.0000 0.0000  2 Ag 2.44

Output
Space-group type: P4/mmm (123)
Uncorrected energy: -0.10799 hartree per atom
E_form (uncorrected): 0.61 eV/atom
N(E_F): 0.612 states/eV/atom

---

(8)
Density functional theory data (GGA-PBE) for crystalline ScZnBr2 at its relaxed geometry.

a = 3.5709 Å, b = 3.5709 Å, c = 9.0893 Å
α = 90.00°, β = 90.00°, γ = 112.81°
Closest atoms and distances in Å follow each position.
Positions (direct):
Sc 0.0000 0.0000 0.0000  2 Br 2.71, 2 Zn 2.75
Zn 0.5000 0.5000 0.7895  2 Br 2.53, 2 Sc 2.75
Br 0.0000 0.0000 0.6157  2 Zn 2.53
Br 0.5000 0.5000 0.2045  2 Sc 2.71

Output
Space-group type: Cmm2 (35)
E above lowest polymorph: 170.9 meV/atom
Uncorrected energy: -0.12760 hartree per atom
E_form (uncorrected): -0.73 eV/atom
N(E_F): 0.536 states/eV/atom

---

(9)
Density functional theory data (GGA-PBE) for crystalline ReAuCl2 at its relaxed geometry.

a = 8.9984 Å, b = 8.9984 Å, c = 8.9984 Å
α = 20.41°, β = 20.41°, γ = 20.41°
Closest atoms and distances in Å follow each position.
Positions (direct):
Re 0.0000 0.0000 0.0000  3 Cl 2.48, 3 Au 2.72
Au 0.2575 0.2575 0.2575  3 Cl 2.64, 3 Re 2.72
Cl 0.5194 0.5194 0.5194  3 Au 2.64
Cl 0.7296 0.7296 0.7296  3 Re 2.48

Output
Space-group type: R3m (160)
E above lowest polymorph: 130.9 meV/atom
Uncorrected energy: -0.16923 hartree per atom
E_form (uncorrected): 0.25 eV/atom
N(E_F): 0.755 states/eV/atom

---

(10)
Density functional theory data (GGA-PBE) for crystalline TlIrSe at its relaxed geometry.

a = 7.0721 Å, b = 7.0721 Å, c = 7.0721 Å
α = 155.05°, β = 151.11°, γ = 38.53°
Closest atoms and distances in Å follow each position.
Positions (direct):
Tl 0.0000 0.0000 0.0000  2 Tl 3.05, 4 Ir 3.33, 1 Se 3.33
Ir 0.3224 0.3224 0.0000  4 Se 2.52
Se 0.7506 0.7506 0.0000  4 Ir 2.52

Output
Space-group type: Imm2 (44)
E above lowest polymorph: 0.0 meV/atom
Uncorrected energy: -0.17328 hartree per atom
E_form (uncorrected): 0.19 eV/atom
N(E_F): 0.591 states/eV/atom